1.
This record from Alexandria via LeMat-Bulk describes an optimized crystal structure of NaPdO2. The functional is PBE.

a b c (Å): 7.111 7.111 7.111
angles (deg): 129.15 129.15 74.77
Fractional positions:
Na 0.000 0.000 0.000
Na 0.000 0.000 0.500
Na 0.000 0.500 0.000
Na 0.500 0.000 0.500
Pd 0.000 0.500 0.500
Pd 0.500 0.000 0.000
Pd 0.500 0.500 0.000
Pd 0.500 0.500 0.500
O 0.224 0.265 0.541
O 0.224 0.683 0.959
O 0.265 0.224 0.041
O 0.317 0.776 0.541
O 0.683 0.224 0.459
O 0.735 0.776 0.959
O 0.776 0.317 0.041
O 0.776 0.735 0.459

Output
As for the crystal system: tetragonal. The uncorrected formation energy is -0.809 eV per atom.



2.
This record from Alexandria via LeMat-Bulk describes an optimized crystal structure of CsC5. The functional is PBE.

a b c (Å): 3.651 3.203 12.457
angles (deg): 90.00 90.00 90.00
Fractional positions:
Cs 0.000 0.000 0.000
Cs 0.000 0.500 0.500
C 0.000 0.000 0.267
C 0.000 0.000 0.743
C 0.000 0.500 0.243
C 0.000 0.500 0.767
C 0.500 0.000 0.217
C 0.500 0.000 0.329
C 0.500 0.000 0.715
C 0.500 0.500 0.215
C 0.500 0.500 0.717
C 0.500 0.500 0.829

Output
As for the crystal system: orthorhombic. As for the energy relative to the elements: 2.12 eV/atom.



3.
This record from Alexandria via LeMat-Bulk describes an optimized crystal structure of La3TbPu2S6. The functional is PBE.

a b c (Å): 6.995 6.995 7.063
angles (deg): 99.48 99.48 120.01
Fractional positions:
La 0.000 0.000 0.000
La 0.333 0.667 0.000
La 0.667 0.333 0.000
Tb 0.500 0.500 0.500
Pu 0.167 0.833 0.500
Pu 0.833 0.167 0.500
S 0.090 0.422 0.266
S 0.246 0.246 0.735
S 0.422 0.090 0.266
S 0.578 0.910 0.734
S 0.754 0.754 0.265
S 0.910 0.578 0.734

Output
As for the crystal system: monoclinic. The uncorrected formation energy is -2.012 eV per atom.



4.
This record from Alexandria via LeMat-Bulk describes an optimized crystal structure of HfTi2P2. The functional is PBE.

a b c (Å): 11.766 11.766 3.844
angles (deg): 90.00 90.00 163.12
Fractional positions:
Hf 0.139 0.861 0.750
Hf 0.861 0.139 0.250
Ti 0.252 0.748 0.250
Ti 0.448 0.552 0.750
Ti 0.552 0.448 0.250
Ti 0.748 0.252 0.750
P 0.031 0.969 0.750
P 0.330 0.670 0.750
P 0.670 0.330 0.250
P 0.969 0.031 0.250

Output
As for the crystal system: orthorhombic. As for the energy relative to the elements: -1.01 eV/atom.



5.
This record from Alexandria via LeMat-Bulk describes an optimized crystal structure of CdTc5. The functional is PBE.

a b c (Å): 5.137 5.137 5.137
angles (deg): 60.00 60.00 60.00
Fractional positions:
Cd 0.000 0.000 0.000
Tc 0.123 0.626 0.626
Tc 0.250 0.250 0.250
Tc 0.626 0.123 0.626
Tc 0.626 0.626 0.123
Tc 0.626 0.626 0.626

Output
As for the crystal system: cubic. As for the energy relative to the elements: 0.38 eV/atom.



6.
This record from Alexandria via LeMat-Bulk describes an optimized crystal structure of Ho2TmAg. The functional is PBE.

a b c (Å): 3.551 3.551 30.808
angles (deg): 90.00 90.00 120.00
Fractional positions:
Ho 0.000 0.000 0.000
Ho 0.000 0.000 0.182
Ho 0.333 0.667 0.667
Ho 0.333 0.667 0.849
Ho 0.667 0.333 0.333
Ho 0.667 0.333 0.515
Tm 0.000 0.000 0.758
Tm 0.333 0.667 0.424
Tm 0.667 0.333 0.091
Ag 0.000 0.000 0.591
Ag 0.333 0.667 0.258
Ag 0.667 0.333 0.924

Output
As for the crystal system: trigonal. As for the energy relative to the elements: -0.01 eV/atom.



7.
This record from Alexandria via LeMat-Bulk describes an optimized crystal structure of EuBIr2. The functional is PBE.

a b c (Å): 3.867 3.867 16.505
angles (deg): 90.00 90.00 120.00
Fractional positions:
Eu 0.000 0.000 0.000
Eu 0.333 0.667 0.667
Eu 0.667 0.333 0.333
B 0.000 0.000 0.500
B 0.333 0.667 0.167
B 0.667 0.333 0.833
Ir 0.000 0.000 0.205
Ir 0.000 0.000 0.795
Ir 0.333 0.667 0.462
Ir 0.333 0.667 0.871
Ir 0.667 0.333 0.129
Ir 0.667 0.333 0.538

Output
As for the crystal system: trigonal. As for the energy relative to the elements: 0.00 eV/atom.



8.
This record from Alexandria via LeMat-Bulk describes an optimized crystal structure of In2SiI. The functional is PBE.

a b c (Å): 6.845 6.845 12.954
angles (deg): 90.00 90.00 90.00
Fractional positions:
In 0.175 0.250 0.125
In 0.250 0.675 0.375
In 0.250 0.825 0.875
In 0.325 0.250 0.625
In 0.675 0.750 0.625
In 0.750 0.175 0.875
In 0.750 0.325 0.375
In 0.825 0.750 0.125
Si 0.000 0.000 0.000
Si 0.000 0.500 0.250
Si 0.500 0.000 0.750
Si 0.500 0.500 0.500
I 0.000 0.000 0.500
I 0.000 0.500 0.750
I 0.500 0.000 0.250
I 0.500 0.500 0.000

Output
As for the crystal system: tetragonal. The uncorrected formation energy is 0.158 eV per atom.